Entry 1:
A relaxed Li6TlSn crystal, computed with PBE.

Output
Crystal system: hexagonal
SG: P-6m2 (187)
Formation energy in eV/f.u.: -2.10
Excess energy over the best structure of this formula in the dataset in eV/atom: 0.0434
Mass density in g/cm3: 4.05

a = 5.993 Å, b = 5.993 Å, c = 4.805 Å
α = 90.00°, β = 90.00°, γ = 120.00°
Fractional positions:
Li 0.016 0.508 0.000
Li 0.329 0.164 0.500
Li 0.492 0.508 0.000
Li 0.492 0.984 0.000
Li 0.836 0.164 0.500
Li 0.836 0.671 0.500
Tl 0.000 0.000 0.000
Sn 0.333 0.667 0.500

***

Entry 2:
A relaxed Na3SiS4 crystal, computed with PBE.

Output
ΔE_f (raw) in meV/atom: -870
Crystal system: orthorhombic
SG: Pnma (62)
Excess energy over the best structure of this formula in the dataset in eV/atom: 0.0000
Mass density in g/cm3: 2.04

a = 8.153 Å, b = 9.723 Å, c = 9.235 Å
α = 90.00°, β = 90.00°, γ = 90.00°
Fractional positions:
Na 0.078 0.043 0.224
Na 0.078 0.457 0.224
Na 0.144 0.750 0.438
Na 0.356 0.250 0.938
Na 0.422 0.543 0.724
Na 0.422 0.957 0.724
Na 0.578 0.043 0.276
Na 0.578 0.457 0.276
Na 0.644 0.750 0.062
Na 0.856 0.250 0.562
Na 0.922 0.543 0.776
Na 0.922 0.957 0.776
Si 0.213 0.750 0.983
Si 0.287 0.250 0.483
Si 0.713 0.750 0.517
Si 0.787 0.250 0.017
S 0.009 0.750 0.127
S 0.160 0.750 0.759
S 0.162 0.064 0.543
S 0.162 0.436 0.543
S 0.338 0.564 0.043
S 0.338 0.936 0.043
S 0.340 0.250 0.259
S 0.491 0.250 0.627
S 0.509 0.750 0.373
S 0.660 0.750 0.741
S 0.662 0.064 0.957
S 0.662 0.436 0.957
S 0.838 0.564 0.457
S 0.838 0.936 0.457
S 0.840 0.250 0.241
S 0.991 0.250 0.873

***

Entry 3:
A relaxed TmZnRh crystal, computed with PBE.

Output
Crystal system: tetragonal
SG: I4mm (107)
Formation energy in eV/f.u.: -1.81
Mass density in g/cm3: 10.32

a = 3.398 Å, b = 3.398 Å, c = 9.399 Å
α = 90.00°, β = 90.00°, γ = 90.00°
Fractional positions:
Tm 0.000 0.000 0.000
Tm 0.500 0.500 0.500
Zn 0.000 0.000 0.306
Zn 0.500 0.500 0.806
Rh 0.000 0.000 0.670
Rh 0.500 0.500 0.170

***

Per-record total moment, μB/atom: 0.0000; 0.1129; 0.0000